First-principles (PBE) data for an optimized crystal structure of Li2LaScSb, as listed in Alexandria via LeMat-Bulk.

## Properties
As for the raw total energy: -18.9 eV/cell. As for the formation energy without anion corrections: 0.06 eV per atom.

a = 5.040 Å, b = 6.215 Å, c = 5.040 Å
α = 90.00°, β = 90.00°, γ = 90.00°
Fractional positions:
Sc (0.500, 0.500, 0.500)
Sb (0.000, 0.000, 0.000)
Li (0.000, 0.000, 0.500)
Li (0.500, 0.000, 0.000)
La (0.000, 0.500, 0.000)